Entry 1:
# ZnGeH2 GGA-PBE optimized geometry
# total DFT energy (no corrections) = -9.9 eV/f.u.
# energy relative to the lowest polymorph listed for this composition = 174.2 meV per atom
# Fermi-level density of states = 0.94 states/eV/cell
data_ZnGeH2
_chemical_formula_sum 'Zn1 Ge1 H2'
_cell_length_a 3.9044
_cell_length_b 3.9044
_cell_length_c 3.9044
_cell_angle_alpha 60.00
_cell_angle_beta 60.00
_cell_angle_gamma 60.00
_symmetry_space_group_name_H-M 'P 1'
_symmetry_Int_Tables_number 1
loop_
_symmetry_equiv_pos_as_xyz
'x,y,z'
loop_
_atom_site_label
_atom_site_type_symbol
_atom_site_fract_x
_atom_site_fract_y
_atom_site_fract_z
Zn1 Zn 0.0000 0.0000 0.0000
Ge1 Ge 0.5000 0.5000 0.5000
H1 H 0.2500 0.2500 0.2500
H2 H 0.7500 0.7500 0.7500

=====

Entry 2:
# Zr3GeH GGA-PBE optimized geometry
# total DFT energy (no corrections) = -35.8 eV/f.u.
# energy relative to the lowest polymorph listed for this composition = 0.0 meV per atom
# Fermi-level density of states = 9.02 states/eV/cell
data_Zr3GeH
_chemical_formula_sum 'Zr6 Ge2 H2'
_cell_length_a 6.0805
_cell_length_b 3.7377
_cell_length_c 7.8182
_cell_angle_alpha 90.00
_cell_angle_beta 100.92
_cell_angle_gamma 90.00
_symmetry_space_group_name_H-M 'P 1'
_symmetry_Int_Tables_number 1
loop_
_symmetry_equiv_pos_as_xyz
'x,y,z'
loop_
_atom_site_label
_atom_site_type_symbol
_atom_site_fract_x
_atom_site_fract_y
_atom_site_fract_z
Zr1 Zr 0.0868 0.2500 0.3626
Zr2 Zr 0.2228 0.2500 0.9195
Zr3 Zr 0.4038 0.7500 0.6287
Zr4 Zr 0.5962 0.2500 0.3713
Zr5 Zr 0.7772 0.7500 0.0805
Zr6 Zr 0.9132 0.7500 0.6374
Ge1 Ge 0.3014 0.7500 0.1815
Ge2 Ge 0.6986 0.2500 0.8185
H1 H 0.1525 0.2500 0.6414
H2 H 0.8475 0.7500 0.3586

=====

Entry 3:
# Zr2GeH2 GGA-PBE optimized geometry
# total DFT energy (no corrections) = -28.3 eV/f.u.
# energy relative to the lowest polymorph listed for this composition = 558.7 meV per atom
# Fermi-level density of states = 5.60 states/eV/cell
data_Zr2GeH2
_chemical_formula_sum 'Zr4 Ge2 H4'
_cell_length_a 7.0641
_cell_length_b 7.0641
_cell_length_c 2.9558
_cell_angle_alpha 90.00
_cell_angle_beta 90.00
_cell_angle_gamma 90.00
_symmetry_space_group_name_H-M 'P 1'
_symmetry_Int_Tables_number 1
loop_
_symmetry_equiv_pos_as_xyz
'x,y,z'
loop_
_atom_site_label
_atom_site_type_symbol
_atom_site_fract_x
_atom_site_fract_y
_atom_site_fract_z
Zr1 Zr 0.1466 0.3534 0.0000
Zr2 Zr 0.3534 0.8534 0.0000
Zr3 Zr 0.6466 0.1466 0.0000
Zr4 Zr 0.8534 0.6466 0.0000
Ge1 Ge 0.0000 0.0000 0.0000
Ge2 Ge 0.5000 0.5000 0.0000
H1 H 0.1003 0.6003 0.5000
H2 H 0.3997 0.1003 0.5000
H3 H 0.6003 0.8997 0.5000
H4 H 0.8997 0.3997 0.5000